# BAsN2

An optimized crystal structure of BAsN2 (GGA-PBE, Alexandria).

Unit cell a=3.7061 b=3.7061 c=3.7061 alpha=60.00 beta=60.00 gamma=60.00
Fractional coordinates of all 4 atoms:
N 0.7500 0.7500 0.7500
As 0.5000 0.5000 0.5000
B 0.0000 0.0000 0.0000
N 0.2500 0.2500 0.2500

Results
Its calculated volume is 36 Å³/cell. For the total energy, the calculation gives -19.1 eV/cell. The density of states at the Fermi level comes out at 0.38 states/eV/atom. As for the symmetry: Fm-3m (225).